Record 1
# PBE-GGA CdNi2Pt, optimized geometry
# DFT formation energy   0.02 eV/atom
data_CdNi2Pt
_cell_length_a 8.761
_cell_length_b 2.801
_cell_length_c 4.857
_cell_angle_alpha 90.00
_cell_angle_beta 100.44
_cell_angle_gamma 90.00
_symmetry_space_group_name_H-M 'C 1 2/m 1'
_symmetry_Int_Tables_number 12
loop_
_symmetry_equiv_pos_as_xyz
'x,y,z'
'-x,-y,-z'
'-x,y,-z'
'x,-y,z'
'x+1/2,y+1/2,z'
'-x+1/2,-y+1/2,-z'
'-x+1/2,y+1/2,-z'
'x+1/2,-y+1/2,z'
loop_
_atom_site_label
_atom_site_type_symbol
_atom_site_fract_x
_atom_site_fract_y
_atom_site_fract_z
Cd1 Cd 0.000 0.000 0.000
Ni1 Ni 0.245 0.000 0.718
Pt1 Pt 0.000 0.500 0.500

Record 2
# PBE-GGA Cd2NiPt, optimized geometry
# DFT formation energy   -0.05 eV/atom
data_Cd2NiPt
_cell_length_a 2.914
_cell_length_b 3.718
_cell_length_c 6.249
_cell_angle_alpha 90.00
_cell_angle_beta 90.00
_cell_angle_gamma 90.00
_symmetry_space_group_name_H-M 'P m m 2'
_symmetry_Int_Tables_number 25
loop_
_symmetry_equiv_pos_as_xyz
'x,y,z'
'-x,-y,z'
'-x,y,z'
'x,-y,z'
loop_
_atom_site_label
_atom_site_type_symbol
_atom_site_fract_x
_atom_site_fract_y
_atom_site_fract_z
Cd1 Cd 0.000 0.000 0.000
Cd2 Cd 0.500 0.500 0.308
Ni1 Ni 0.000 0.000 0.537
Pt1 Pt 0.500 0.500 0.752

Record 3
# PBE-GGA CdNi2Pt, optimized geometry
# DFT formation energy   0.00 eV/atom
data_CdNi2Pt
_cell_length_a 2.743
_cell_length_b 4.203
_cell_length_c 5.155
_cell_angle_alpha 90.00
_cell_angle_beta 105.27
_cell_angle_gamma 90.00
_symmetry_space_group_name_H-M 'P 1 m 1'
_symmetry_Int_Tables_number 6
loop_
_symmetry_equiv_pos_as_xyz
'x,y,z'
'x,-y,z'
loop_
_atom_site_label
_atom_site_type_symbol
_atom_site_fract_x
_atom_site_fract_y
_atom_site_fract_z
Cd1 Cd 0.000 0.000 0.000
Ni1 Ni 0.611 0.500 0.222
Ni2 Ni 0.732 0.000 0.476
Pt1 Pt 0.334 0.500 0.675

Record 4
# PBE-GGA CdNi2Pt, optimized geometry
# DFT formation energy   -0.01 eV/atom
data_CdNi2Pt
_cell_length_a 3.844
_cell_length_b 3.844
_cell_length_c 7.773
_cell_angle_alpha 90.00
_cell_angle_beta 90.00
_cell_angle_gamma 90.00
_symmetry_space_group_name_H-M 'I -4 m 2'
_symmetry_Int_Tables_number 119
_symmetry_space_group_name_Hall 'I -4 -2'
loop_
_atom_site_label
_atom_site_type_symbol
_atom_site_fract_x
_atom_site_fract_y
_atom_site_fract_z
Cd1 Cd 0.000 0.000 0.000
Ni1 Ni 0.000 0.000 0.500
Ni2 Ni 0.000 0.500 0.750
Pt1 Pt 0.000 0.500 0.250

Record 5
# PBE-GGA CdNi2Pt, optimized geometry
# DFT formation energy   0.07 eV/atom
data_CdNi2Pt
_cell_length_a 6.148
_cell_length_b 6.148
_cell_length_c 6.148
_cell_angle_alpha 90.00
_cell_angle_beta 90.00
_cell_angle_gamma 90.00
_symmetry_space_group_name_H-M 'F -4 3 m'
_symmetry_Int_Tables_number 216
_symmetry_space_group_name_Hall 'F -4 2 3'
loop_
_atom_site_label
_atom_site_type_symbol
_atom_site_fract_x
_atom_site_fract_y
_atom_site_fract_z
Cd1 Cd 0.000 0.000 0.000
Ni1 Ni 0.000 0.000 0.500
Ni2 Ni 0.250 0.250 0.750
Pt1 Pt 0.250 0.250 0.250

Record 6
# PBE-GGA CdNiPt14, optimized geometry
# DFT formation energy   -0.03 eV/atom
data_CdNiPt14
_cell_length_a 9.325
_cell_length_b 5.573
_cell_length_c 9.680
_cell_angle_alpha 90.00
_cell_angle_beta 90.00
_cell_angle_gamma 90.00
_symmetry_space_group_name_H-M 'A m m 2'
_symmetry_Int_Tables_number 38
loop_
_symmetry_equiv_pos_as_xyz
'x,y,z'
'-x,-y,z'
'-x,y,z'
'x,-y,z'
'x,y+1/2,z+1/2'
'-x,-y+1/2,z+1/2'
'-x,y+1/2,z+1/2'
'x,-y+1/2,z+1/2'
loop_
_atom_site_label
_atom_site_type_symbol
_atom_site_fract_x
_atom_site_fract_y
_atom_site_fract_z
Cd1 Cd 0.000 0.000 0.000
Ni1 Ni 0.000 0.000 0.499
Pt1 Pt 0.000 0.250 0.250
Pt2 Pt 0.243 0.000 0.661
Pt3 Pt 0.247 0.247 0.413
Pt4 Pt 0.251 0.000 0.163
Pt5 Pt 0.500 0.000 0.327
Pt6 Pt 0.500 0.000 0.826
Pt7 Pt 0.500 0.249 0.577

Number 1: Fermi-level density of states 9.73 states/eV per cell, final energy -4.614 eV/atom. Number 2: Fermi-level density of states 2.44 states/eV per cell, final energy -3.465 eV/atom. Number 3: Fermi-level density of states 5.68 states/eV per cell, final energy -4.631 eV/atom. Number 4: Fermi-level density of states 10.98 states/eV per cell, final energy -4.640 eV/atom. Number 5: Fermi-level density of states 25.98 states/eV per cell, final energy -4.557 eV/atom. Number 6: Fermi-level density of states 56.34 states/eV per cell, final energy -5.735 eV/atom.